LiNpAg | PBE-GGA | optimized geometry

Its total energy is -5.05 eV/atom. The volume comes out at 22.8 Å³ per atom.

It has space group F-43m (No. 216), with a = 6.488 Å, b = 6.488 Å, c = 6.488 Å, α = 90.00°, β = 90.00° and γ = 90.00°. The distinct sites, in fractional coordinates, are Li at (0.000, 0.000, 0.000), Np at (0.250, 0.250, 0.750) and Ag at (0.250, 0.250, 0.250).

***

LiNpAgS3 | PBE-GGA | optimized geometry

Its total energy is -5.95 eV/atom. The volume comes out at 22.8 Å³ per atom.

It has space group Cmcm (No. 63), with a = 4.064 Å, b = 12.948 Å, c = 10.395 Å, α = 90.00°, β = 90.00° and γ = 90.00°. The distinct sites, in fractional coordinates, are Li at (0.000, 0.160, 0.250), Np at (0.000, 0.500, 0.000), Ag at (0.000, 0.088, 0.750), S at (0.000, 0.134, 0.523) and S at (0.000, 0.444, 0.750).

***

Li5AgO4 | PBE-GGA | optimized geometry

Its total energy is -4.57 eV/atom. The volume comes out at 9.0 Å³ per atom.

It has space group P2/m (No. 10), with a = 5.127 Å, b = 3.294 Å, c = 5.334 Å, α = 90.00°, β = 93.26° and γ = 90.00°. The distinct sites, in fractional coordinates, are Li at (0.000, 0.000, 0.000), Li at (0.345, 0.500, 0.159), Li at (0.366, 0.000, 0.669), Ag at (0.000, 0.500, 0.500), O at (0.250, 0.500, 0.812) and O at (0.253, 0.000, 0.312).

***

- Among the records above, which one has the lowest volume?
  Li5AgO4